Entry from the Alexandria database: a geometry-optimized BaYCr2N structure (PBE).

## Properties
- Formation energy (no corrections): 2.82 eV/atom
- DOS at the Fermi energy: 3.94 states/eV/f.u.
- Volume: 29.31 A^3/atom
- SG: No. 123
- Crystal system: tetragonal
- Total magnetization: 7.5 μB/f.u.

abc: 4.910 6.080 4.910
angles: 90.00 90.00 90.00
Sites, in units of the cell vectors:
N 0.500 0.500 0.500
Y 0.000 0.500 0.000
Cr 0.000 0.000 0.500
Cr 0.500 0.000 0.000
Ba 0.000 0.000 0.000